[1]
# LiNbIr2

LiNbIr2 at its PBEsol-relaxed geometry (meta-GGA SCAN, Alexandria).

a b c (Å): 5.4822 5.5546 5.5546
angles (deg): 75.91 60.43 60.43
Last column: nearest neighbours and their distance in Å.
Sites, in units of the cell vectors:
Ir1 0.8750 0.0104 0.4896  2 Nb 2.46, 2 Li 2.56, 2 Ir 2.74
Ir2 0.6354 0.4896 0.9896  2 Nb 2.46, 2 Li 2.56, 2 Ir 2.74
Ir3 0.1146 0.5104 0.0104  2 Nb 2.46, 2 Li 2.56, 2 Ir 2.74
Ir4 0.3750 0.9896 0.5104  2 Nb 2.46, 2 Li 2.56, 2 Ir 2.74
Li1 0.5000 0.0000 0.0000  4 Ir 2.56, 2 Nb 2.74
Li2 0.2500 0.5000 0.5000  4 Ir 2.56, 2 Nb 2.74
Nb1 0.7500 0.5000 0.5000  4 Ir 2.46, 2 Li 2.74
Nb2 0.0000 0.0000 0.0000  4 Ir 2.46, 2 Li 2.74

* E above lowest polymorph: 2.89 eV per formula unit
* magnetization: 0.00 μB/atom
* ΔH_f (0 K): 0.087 eV/atom

[2]
# LiNbIr2

LiNbIr2 at its PBEsol-relaxed geometry (meta-GGA SCAN, Alexandria).

a b c (Å): 4.3188 4.3188 4.3188
angles (deg): 60.00 60.00 60.00
Last column: nearest neighbours and their distance in Å.
Sites, in units of the cell vectors:
Nb1 0.5000 0.5000 0.5000  8 Ir 2.64
Li1 0.0000 0.0000 0.0000  8 Ir 2.64
Ir1 0.7500 0.7500 0.7500  4 Nb 2.64, 4 Li 2.64
Ir2 0.2500 0.2500 0.2500  4 Nb 2.64, 4 Li 2.64

* E above lowest polymorph: 0.00 eV per formula unit
* magnetization: 0.00 μB/atom
* ΔH_f (0 K): -0.637 eV/atom

[3]
# LiNbIrOs2

LiNbIrOs2 at its PBEsol-relaxed geometry (meta-GGA SCAN, Alexandria).

a b c (Å): 4.0526 4.0526 4.1681
angles (deg): 90.00 90.00 90.00
Last column: nearest neighbours and their distance in Å.
Sites, in units of the cell vectors:
Ir1 0.5000 0.5000 0.5000  4 Nb 2.87, 8 Os 2.91
Os1 0.5000 0.0000 0.0000  2 Li 2.03
Os2 0.0000 0.5000 0.0000  2 Li 2.03
Li1 0.0000 0.0000 0.0000  4 Os 2.03, 2 Nb 2.08
Nb1 0.0000 0.0000 0.5000  2 Li 2.08

* magnetization: 0.00 μB/atom
* ΔH_f (0 K): 0.860 eV/atom

[4]
# LiNd2IrO6

LiNd2IrO6 at its PBEsol-relaxed geometry (meta-GGA SCAN, Alexandria).

a b c (Å): 5.3533 5.7625 7.6650
angles (deg): 90.00 90.57 90.00
Last column: nearest neighbours and their distance in Å.
Sites, in units of the cell vectors:
Nd1 0.0193 0.4260 0.2487  7 O 2.35-2.62
Nd2 0.9807 0.5740 0.7513  7 O 2.35-2.62
Nd3 0.5193 0.0740 0.7487  7 O 2.35-2.62
Nd4 0.4807 0.9260 0.2513  7 O 2.35-2.62
O1 0.8181 0.2900 0.5503  1 Ir 1.97, 1 Li 2.12
O2 0.3013 0.1896 0.4532  1 Ir 1.98, 1 Li 2.11
O3 0.0937 0.9744 0.7479  1 Ir 1.97, 1 Li 2.01
O4 0.8013 0.3104 0.9532  1 Ir 1.98, 1 Li 2.11
O5 0.6819 0.7900 0.9497  1 Ir 1.97, 1 Li 2.12
O6 0.4063 0.4744 0.7521  1 Ir 1.97, 1 Li 2.01
O7 0.6987 0.8104 0.5468  1 Ir 1.98, 1 Li 2.11
O8 0.9063 0.0256 0.2521  1 Ir 1.97, 1 Li 2.01
O9 0.3181 0.2100 0.0503  1 Ir 1.97, 1 Li 2.12
O10 0.1987 0.6896 0.0468  1 Ir 1.98, 1 Li 2.11
O11 0.5937 0.5256 0.2479  1 Ir 1.97, 1 Li 2.01
O12 0.1819 0.7100 0.4497  1 Ir 1.97, 1 Li 2.12
Ir1 0.5000 0.5000 0.0000  6 O 1.97-1.98
Ir2 0.0000 0.0000 0.5000  6 O 1.97-1.98
Li1 0.5000 0.5000 0.5000  6 O 2.01-2.12
Li2 0.0000 0.0000 0.0000  6 O 2.01-2.12

* magnetization: 0.20 μB/atom
* formation energy without anion corrections: -2.566 eV/atom

[5]
# Li2NiIr

Li2NiIr at its PBEsol-relaxed geometry (meta-GGA SCAN, Alexandria).

a b c (Å): 2.5833 4.3098 4.3299
angles (deg): 90.00 90.00 90.00
Last column: nearest neighbours and their distance in Å.
Sites, in units of the cell vectors:
Ir1 0.0000 0.5000 0.5000  4 Li 2.51, 4 Ni 2.52, 2 Ir 2.58
Li1 0.0000 0.0000 0.0000  4 Ni 2.51, 6 Li 2.52-2.58
Li2 0.5000 0.0000 0.5000  4 Ir 2.51, 6 Li 2.52-2.58
Ni1 0.5000 0.5000 0.0000  4 Li 2.51, 4 Ir 2.52, 2 Ni 2.58

* E above lowest polymorph: 0.15 eV per formula unit
* magnetization: 0.02 μB/atom
* ΔH_f (0 K): -0.188 eV/atom

[6]
# LiNi2Ir

LiNi2Ir at its PBEsol-relaxed geometry (meta-GGA SCAN, Alexandria).

a b c (Å): 2.5404 4.3917 4.3917
angles (deg): 110.04 90.00 90.00
Last column: nearest neighbours and their distance in Å.
Sites, in units of the cell vectors:
Ir1 0.5000 0.5000 0.5000  2 Li 2.52, 8 Ni 2.54, 2 Ir 2.54
Li1 0.5000 0.0000 0.0000  2 Ir 2.52, 8 Ni 2.54, 2 Li 2.54
Ni1 0.0000 0.0000 0.5000  4 Ni 2.52-2.54, 4 Ir 2.54, 4 Li 2.54
Ni2 0.0000 0.5000 0.0000  4 Ni 2.52-2.54, 4 Li 2.54, 4 Ir 2.54

* magnetization: 0.27 μB/atom
* ΔH_f (0 K): -0.151 eV/atom

[7]
# Li2NiIr

Li2NiIr at its PBEsol-relaxed geometry (meta-GGA SCAN, Alexandria).

a b c (Å): 2.5620 2.5620 8.5306
angles (deg): 90.00 90.00 117.53
Last column: nearest neighbours and their distance in Å.
Sites, in units of the cell vectors:
Li1 0.0000 0.0000 0.2566  2 Ni 2.47, 2 Ir 2.56, 6 Li 2.56-2.66
Li2 0.0000 0.0000 0.7434  2 Ni 2.47, 2 Ir 2.56, 6 Li 2.56-2.66
Ir1 0.5000 0.5000 0.0000  4 Li 2.56, 6 Ir 2.56-2.66
Ni1 0.5000 0.5000 0.5000  4 Li 2.47, 6 Ni 2.56-2.66

* E above lowest polymorph: 0.46 eV per formula unit
* magnetization: 0.07 μB/atom
* ΔH_f (0 K): -0.108 eV/atom

[8]
# Li2NiIr

Li2NiIr at its PBEsol-relaxed geometry (meta-GGA SCAN, Alexandria).

a b c (Å): 2.5224 4.4467 4.5306
angles (deg): 100.21 106.16 90.00
Last column: nearest neighbours and their distance in Å.
Sites, in units of the cell vectors:
Ir1 0.0000 0.5000 0.0000  2 Ir 2.52, 4 Ni 2.56, 6 Li 2.58-2.62
Ni1 0.5000 0.0000 0.0000  2 Ni 2.52, 6 Li 2.54-2.66, 4 Ir 2.56
Li1 0.2445 0.2482 0.4889  6 Li 2.52-2.56, 3 Ni 2.54-2.66, 3 Ir 2.58-2.62
Li2 0.7555 0.7518 0.5111  6 Li 2.52-2.56, 3 Ni 2.54-2.66, 3 Ir 2.58-2.62

* E above lowest polymorph: 0.00 eV per formula unit
* magnetization: 0.00 μB/atom
* ΔH_f (0 K): -0.224 eV/atom

[9]
# LiNi2Ir

LiNi2Ir at its PBEsol-relaxed geometry (meta-GGA SCAN, Alexandria).

a b c (Å): 2.5448 2.5448 8.4467
angles (deg): 90.00 90.00 117.20
Last column: nearest neighbours and their distance in Å.
Sites, in units of the cell vectors:
Ni1 0.5000 0.5000 0.7607  6 Ni 2.36-2.54, 2 Ir 2.54
Ni2 0.0000 0.0000 0.9924  6 Ni 2.36-2.54, 2 Li 2.49
Li1 0.5000 0.5000 0.2421  2 Ni 2.49, 6 Li 2.54-2.65, 2 Ir 2.59
Ir1 0.0000 0.0000 0.5048  2 Ni 2.54, 6 Ir 2.54-2.65, 2 Li 2.59

* magnetization: 0.42 μB/atom
* ΔH_f (0 K): 0.088 eV/atom

[10]
# Li2NiIr

Li2NiIr at its PBEsol-relaxed geometry (meta-GGA SCAN, Alexandria).

a b c (Å): 2.5928 2.5928 8.6167
angles (deg): 81.35 81.35 60.00
Last column: nearest neighbours and their distance in Å.
Sites, in units of the cell vectors:
Li1 0.7521 0.7521 0.7438  3 Ni 2.55, 6 Li 2.59, 3 Ir 2.64
Li2 0.2479 0.2479 0.2562  3 Ni 2.55, 6 Li 2.59, 3 Ir 2.64
Ni1 0.5000 0.5000 0.5000  6 Li 2.55, 6 Ni 2.59
Ir1 0.0000 0.0000 0.0000  6 Ir 2.59, 6 Li 2.64

* E above lowest polymorph: 0.39 eV per formula unit
* magnetization: 0.06 μB/atom
* ΔH_f (0 K): -0.127 eV/atom

[11]
# LiNi2Ir

LiNi2Ir at its PBEsol-relaxed geometry (meta-GGA SCAN, Alexandria).

a b c (Å): 2.5129 3.6826 4.9986
angles (deg): 90.00 90.00 90.00
Last column: nearest neighbours and their distance in Å.
Sites, in units of the cell vectors:
Ir1 0.0000 0.0000 0.4916  6 Ni 2.49-2.53, 2 Ir 2.51, 4 Li 2.61
Ni1 0.5000 0.5000 0.2504  2 Li 2.43-2.56, 6 Ni 2.51-2.57, 4 Ir 2.53
Ni2 0.0000 0.0000 0.9945  2 Ir 2.49-2.51, 4 Li 2.51, 6 Ni 2.51-2.57
Li1 0.5000 0.5000 0.7635  6 Ni 2.43-2.56, 2 Li 2.51, 4 Ir 2.61

* magnetization: 0.38 μB/atom
* ΔH_f (0 K): 0.044 eV/atom

[12]
# Li2NiIr

Li2NiIr at its PBEsol-relaxed geometry (meta-GGA SCAN, Alexandria).

a b c (Å): 2.4909 4.2881 4.5157
angles (deg): 90.00 92.28 90.00
Last column: nearest neighbours and their distance in Å.
Sites, in units of the cell vectors:
Ir1 0.0000 0.5000 0.5000  2 Ir 2.49, 4 Ni 2.53-2.62, 4 Li 2.54
Li1 0.7033 0.0000 0.7479  5 Li 2.42-2.66, 2 Ni 2.49, 2 Ir 2.54
Li2 0.2967 0.0000 0.2521  5 Li 2.42-2.66, 2 Ni 2.49, 2 Ir 2.54
Ni1 0.5000 0.5000 0.0000  4 Li 2.49, 2 Ni 2.49, 4 Ir 2.53-2.62

* E above lowest polymorph: 0.05 eV per formula unit
* magnetization: 0.01 μB/atom
* ΔH_f (0 K): -0.211 eV/atom

Density of states at the Fermi level values, unit states/eV per cell, following the record order: 1.945; 0.209; 2.966; 3.966; 2.300; 2.874; 2.230; 1.300; 3.846; 2.128; 3.640; 1.762.